The following is a meta-GGA SCAN calculation of a crystal of SiSbPb relaxed with PBEsol, from Alexandria via LeMat-Bulk.

POSCAR file:
```
SiSbPb
1.0
5.1131 0.0000 0.0000
-2.5566 4.4281 0.0000
0.0000 0.0000 3.1904
Si Sb Pb
1 1 1
Direct
0.0000 0.0000 0.0000
0.6667 0.3333 0.0000
0.3333 0.6667 0.5000
```

energy relative to the elements, uncorrected: 0.517 eV/atom
crystal system: hexagonal
N(E_F): 1.631 states/eV per cell
energy above the lowest structure with this stoichiometry: 0 meV/atom